[1]
VASP calculation (GGA-PBE) on a relaxed structure of NdHo5Tl8.

abc: 8.048 8.048 8.048
angles: 110.11 108.20 110.11
Positions (direct):
Nd (0.250, 0.500, 0.750)
Ho (0.019, 0.368, 0.125)
Ho (0.875, 0.895, 0.243)
Ho (0.757, 0.632, 0.652)
Ho (0.500, 0.000, 0.500)
Ho (0.348, 0.105, 0.981)
Tl (0.123, 0.747, 0.050)
Tl (0.950, 0.073, 0.697)
Tl (0.776, 0.258, 0.363)
Tl (0.637, 0.413, 0.896)
Tl (0.483, 0.587, 0.224)
Tl (0.624, 0.927, 0.877)
Tl (0.303, 0.253, 0.376)
Tl (0.104, 0.742, 0.517)

[2]
VASP calculation (GGA-PBE) on a relaxed structure of NdHo5Tl.

abc: 6.247 7.939 7.642
angles: 121.30 114.13 90.00
Positions (direct):
Nd (0.823, 0.000, 0.000)
Ho (0.485, 0.254, 0.507)
Ho (0.034, 0.500, 0.000)
Ho (0.978, 0.746, 0.493)
Ho (0.324, 0.813, 0.000)
Ho (0.324, 0.187, 0.000)
Tl (0.563, 0.500, 0.000)

[3]
VASP calculation (GGA-PBE) on a relaxed structure of NdHo7Tl5.

abc: 6.496 8.324 8.324
angles: 81.24 67.03 67.03
Last column: magnetic moment on the atom in μB.
Positions (direct):
Nd (0.988, 0.012, 0.012)  0.15
Ho (0.640, 0.360, 0.360)  0.08
Ho (0.327, 0.673, 0.673)  0.06
Ho (0.996, 0.346, 0.662)  0.04
Ho (0.996, 0.662, 0.346)  0.04
Ho (0.271, 0.229, 0.229)  0.02
Ho (0.512, 0.791, 0.185)  0.03
Ho (0.512, 0.185, 0.791)  0.03
Tl (0.505, 0.004, 0.484)  0.00
Tl (0.007, 0.004, 0.484)  0.00
Tl (0.505, 0.484, 0.004)  0.00
Tl (0.007, 0.484, 0.004)  0.00
Tl (0.734, 0.766, 0.766)  0.00

[4]
VASP calculation (GGA-PBE) on a relaxed structure of Nd12HoTl6.

abc: 8.431 8.431 8.431
angles: 88.75 88.75 88.75
Positions (direct):
Nd (0.808, 0.529, 0.436)
Nd (0.436, 0.808, 0.529)
Nd (0.529, 0.436, 0.808)
Nd (0.192, 0.471, 0.564)
Nd (0.564, 0.192, 0.471)
Nd (0.471, 0.564, 0.192)
Nd (0.080, 0.120, 0.384)
Nd (0.880, 0.616, 0.920)
Nd (0.616, 0.920, 0.880)
Nd (0.920, 0.880, 0.616)
Nd (0.120, 0.384, 0.080)
Nd (0.384, 0.080, 0.120)
Ho (0.000, 0.000, 0.000)
Tl (0.725, 0.874, 0.254)
Tl (0.746, 0.275, 0.126)
Tl (0.126, 0.746, 0.275)
Tl (0.275, 0.126, 0.746)
Tl (0.254, 0.725, 0.874)
Tl (0.874, 0.254, 0.725)

| no. | DFT total energy (eV per atom) | total magnetization (μB per formula unit) |
| --- | --- | --- |
| 1 | -3.56 | 0.00 |
| 2 | -3.58 | 0.00 |
| 3 | -3.89 | 0.71 |
| 4 | -4.16 | 0.00 |